VASP calculation (GGA+U) on crystalline Dy2AlVO6 at its relaxed geometry.

VASP energy: -162.14 eV for the cell shown

Lattice parameters (Å, degrees): 5.2742 5.5448 7.5629 90.00 90.06 90.00
With the nearest neighbours (Å) after each atom.
Fractional coordinates of all 20 atoms:
Dy (0.0185, 0.9352, 0.2493)  6 O 2.25-2.48
Dy (0.5185, 0.5648, 0.7493)  6 O 2.25-2.48
Dy (0.9815, 0.0648, 0.7507)  6 O 2.25-2.48
Dy (0.4815, 0.4352, 0.2507)  6 O 2.25-2.48
Al (0.5000, 0.0000, 0.5000)  6 O 1.92-1.94
Al (0.0000, 0.5000, 0.0000)  6 O 1.92-1.94
V (0.5000, 0.0000, 0.0000)  6 O 2.03-2.06
V (0.0000, 0.5000, 0.5000)  6 O 2.03-2.06
O (0.2958, 0.6935, 0.0522)  1 Al 1.93, 1 V 2.05
O (0.7958, 0.8065, 0.5522)  1 Al 1.93, 1 V 2.05
O (0.7042, 0.3065, 0.9478)  1 Al 1.93, 1 V 2.05
O (0.2042, 0.1935, 0.4478)  1 Al 1.93, 1 V 2.05
O (0.3124, 0.7088, 0.4448)  1 Al 1.94, 1 V 2.06
O (0.8124, 0.7912, 0.9448)  1 Al 1.94, 1 V 2.06
O (0.6876, 0.2912, 0.5552)  1 Al 1.94, 1 V 2.06
O (0.1876, 0.2088, 0.0552)  1 Al 1.94, 1 V 2.06
O (0.8959, 0.5328, 0.2423)  1 Al 1.92, 1 V 2.03
O (0.3959, 0.9672, 0.7423)  1 Al 1.92, 1 V 2.03
O (0.1041, 0.4672, 0.7577)  1 Al 1.92, 1 V 2.03
O (0.6041, 0.0328, 0.2577)  1 Al 1.92, 1 V 2.03